(1)
The following is a PBE calculation of crystalline PuTlSb at its relaxed geometry, from Alexandria via LeMat-Bulk.

Structure (POSCAR):
```
PuTlSb
1.0
-1.9695 1.9695 5.3709
1.9695 -1.9695 5.3709
1.9695 1.9695 -5.3709
Pu Tl Sb
1 1 1
direct
0.0000 0.0000 0.0000
0.3153 0.3153 0.0000
0.6657 0.6657 0.0000
```

ΔE to the lowest computed polymorph = 13.9 kJ per mole of atoms
formation energy from raw total energies = -15 kJ/mol of atoms

(2)
The following is a PBE calculation of crystalline PmSm3Al8 at its relaxed geometry, from Alexandria via LeMat-Bulk.

Structure (POSCAR):
```
PmSm3Al8
1.0
2.8193 1.6277 9.2365
-2.8193 1.6277 9.2365
0.0000 -3.2554 9.2365
Pm Sm Al
1 3 8
direct
0.0000 0.0000 0.0000
0.1248 0.1248 0.1248
0.5001 0.5001 0.5001
0.6248 0.6248 0.6248
0.0624 0.0624 0.5622
0.0624 0.5622 0.0624
0.0627 0.5625 0.5625
0.3124 0.3124 0.3124
0.5622 0.0624 0.0624
0.5625 0.0627 0.5625
0.5625 0.5625 0.0627
0.8125 0.8125 0.8125
```

formation energy = -0.511 eV per atom
ΔE to the lowest computed polymorph = 0.0 kJ per mole of atoms

(3)
The following is a PBE calculation of crystalline Sr2Al2Ga at its relaxed geometry, from Alexandria via LeMat-Bulk.

Structure (POSCAR):
```
Sr2Al2Ga
1.0
6.1625 -2.2056 0.0000
6.1625 2.2056 0.0000
-4.7711 0.0000 10.7889
Sr Al Ga
4 4 2
direct
0.1097 0.1097 0.3952
0.2899 0.2899 0.8572
0.7101 0.7101 0.1428
0.8903 0.8903 0.6048
0.0346 0.0346 0.9099
0.3944 0.3944 0.3861
0.6056 0.6056 0.6139
0.9654 0.9654 0.0901
0.4402 0.4402 0.1868
0.5598 0.5598 0.8132
```

formation energy = -0.284 eV per atom

(4)
The following is a PBE calculation of crystalline BiOsSe2N at its relaxed geometry, from Alexandria via LeMat-Bulk.

Structure (POSCAR):
```
BiOsSe2N
1.0
5.1961 0.0000 0.0000
0.0000 5.1961 0.0000
0.0000 0.0000 3.7271
Bi Os Se N
1 1 2 1
direct
0.0000 0.0000 0.0000
0.5000 0.5000 0.5000
0.0000 0.5000 0.5000
0.5000 0.0000 0.5000
0.5000 0.5000 0.0000
```

ΔE to the lowest computed polymorph = 0.0 kJ per mole of atoms
formation energy from raw total energies = 24 kJ/mol of atoms

no.,DOS at the Fermi energy (states/eV/atom),V (Å³/cell)
1,2.70,83.3
2,0.88,254.3
3,0.56,293.3
4,0.74,100.6